48
Lattice="5.4164 -0.0187 0.0447 2.6363 6.6119 0.0526 0.2782 0.3056 19.7351" Properties=species:S:1:pos:R:3 comment="Ba2Li3La3Mo8O32, relaxed, DFT GGA+U" vol_a3_per_atom=14.7 dos_at_fermi_per_ev_cell=0.00 spacegroup="P1, No. 1" density_g_cm3=4.67 magnetic_moment_mub_per_cell=0.0 dft_energy_ev_per_cell=-344.52 pbc="T T T"
O 3.6800 3.8280 18.3272
O 6.4280 4.8638 18.7861
O 4.7312 4.5208 10.8417
O 4.1801 3.9999 4.4404
O 6.1608 5.5463 13.4045
O 6.6419 6.1926 7.9202
O 6.7288 4.7436 2.9093
Mo 2.6557 0.8227 1.8663
Ba 5.6212 0.6021 15.1265
Mo 5.4406 3.5248 6.9145
O 3.5796 2.3326 8.9912
O 6.3154 3.3095 8.5474
O 3.9357 0.1497 0.8014
O 4.7850 1.9401 6.4684
La 5.5523 2.0498 10.6114
O 4.9607 5.8233 16.3551
O 6.8775 6.4662 10.7873
O 4.1006 4.7232 7.2302
Mo 2.9513 3.3819 16.7466
Li 5.7261 4.3777 15.1645
O 1.4349 0.3918 9.0584
La 2.6441 4.6921 0.6413
O 4.2230 6.7208 19.0488
O 1.6862 0.6761 11.9199
O 2.1589 1.3002 6.4305
O 6.7058 4.0709 5.7939
O 6.2283 2.0466 3.7362
Mo 5.4624 5.9131 11.8301
O 1.9998 3.5441 11.2758
La 2.7631 4.8074 9.2302
O 2.1072 4.8111 16.0721
O 4.0010 6.1739 2.2067
O 4.5451 3.3233 1.6201
O 1.9832 2.3013 1.0865
Li 2.6092 2.5179 4.7521
Ba 2.6851 6.3206 4.7320
O 3.5333 4.9456 13.3566
Mo 5.6308 6.2451 17.9748
O 1.6738 2.7819 14.0506
Mo 2.8918 3.3562 12.9059
Li 5.8401 1.6781 18.5966
Mo 5.3974 3.5315 3.1709
O 4.2498 2.1658 12.6351
O 3.4166 1.1586 3.4717
O 1.6741 2.1176 16.9626
O 4.2599 0.8909 17.6343
Mo 2.8474 0.9398 8.0141
O 4.2363 2.9508 15.5300